# 1
Entry from the Alexandria database: a relaxed structure of CaScHg3 (PBE).

Results
- density (g/cm3) = 9.2
- raw total energy (eV per atom) = -2.2108
- excess energy over the best structure of this formula in the dataset (meV/atom) = 0.0

a = 16.5161 Å, b = 5.1389 Å, c = 6.1822 Å
α = 90.00°, β = 108.57°, γ = 90.00°
Closest atoms and distances in Å follow each position.
Space group C2/m (No. 12)
Symmetry-distinct sites (fractional):
Ca  0.0922  0.0000  0.3477 [4 per cell]  8 Hg 3.10-3.44
Sc  0.2005  0.5000  0.7895 [4 per cell]  8 Hg 2.93-3.15
Hg  0.0186  0.5000  0.7667 [4 per cell]  1 Sc 2.96, 4 Hg 3.08-3.16, 2 Ca 3.10
Hg  0.1271  0.0000  0.8803 [4 per cell]  3 Sc 2.93-2.97, 2 Hg 3.08, 2 Ca 3.12-3.16
Hg  0.2040  0.5000  0.2993 [4 per cell]  4 Sc 3.05-3.15, 3 Ca 3.23-3.38, 1 Hg 3.31

---

# 2
Entry from the Alexandria database: a relaxed structure of CaSc2Hg6 (PBE).

Results
- density (g/cm3) = 10.5
- raw total energy (eV per atom) = -2.1401

a = 15.2114 Å, b = 8.2715 Å, c = 3.4456 Å
α = 90.00°, β = 103.03°, γ = 90.00°
Closest atoms and distances in Å follow each position.
Space group C2/m (No. 12)
Symmetry-distinct sites (fractional):
Ca  0.0000  0.0000  0.0000 [2 per cell]  12 Hg 3.22-3.43, 2 Ca 3.45
Sc  0.1477  0.5000  0.1474 [4 per cell]  10 Hg 3.00-3.22
Hg  0.0000  0.3285  0.5000 [4 per cell]  3 Hg 2.84-2.88, 4 Sc 3.12-3.13
Hg  0.1749  0.1756  0.6738 [8 per cell]  4 Hg 2.88-3.08, 3 Sc 3.00-3.22

---

# 3
Entry from the Alexandria database: a relaxed structure of CaSc2Hg (PBE).

Results
- density (g/cm3) = 5.0
- raw total energy (eV per atom) = -3.8085

a = 3.5317 Å, b = 3.5317 Å, c = 8.7790 Å
α = 90.00°, β = 90.00°, γ = 90.00°
Closest atoms and distances in Å follow each position.
Space group P4/mmm (No. 123)
Symmetry-distinct sites (fractional):
Ca  0.0000  0.0000  0.0000 [1 per cell]  4 Ca 3.53, 8 Sc 3.67
Sc  0.5000  0.5000  0.3057 [2 per cell]  4 Hg 3.02
Hg  0.0000  0.0000  0.5000 [1 per cell]  8 Sc 3.02

---

Number 1: energy relative to the elements -0.363 eV per atom. Number 2: energy relative to the elements -0.309 eV per atom. Number 3: energy relative to the elements -0.067 eV per atom.